(1)
Entry from Alexandria via LeMat-Bulk: a relaxed LiPmCuSb crystal (PBE).

Geometry as extended XYZ:
```
4
Lattice="5.024 0.000 0.000 2.512 4.351 0.000 2.512 1.450 4.102" Properties=species:S:1:pos:R:3 pbc="T T T"
Sb 7.536 4.351 3.077
Li 0.000 0.000 0.000
Pm 5.024 2.901 2.051
Cu 2.512 1.450 1.026
```

Values from the calculation:
M_tot   0.0 μB per cell
Raw formation energy   -0.4373 eV/atom
Uncorrected energy   -4.158 eV/atom
Volume   89.7 Å³/cell



(2)
Entry from Alexandria via LeMat-Bulk: a relaxed LiPmScCu crystal (PBE).

Geometry as extended XYZ:
```
4
Lattice="-1.985 0.871 4.449 -2.128 -3.686 2.525 2.172 -1.787 4.072" Properties=species:S:1:pos:R:3 pbc="T T T"
Pm -0.485 -1.150 2.761
Li 0.000 0.000 0.000
Sc -1.456 -3.451 8.284
Cu -0.970 -2.301 5.523
```

Values from the calculation:
M_tot   0.0 μB per cell
Uncorrected energy   -4.270 eV/atom
ΔE_f   1 kJ/mol of formula units
Volume   85.7 Å³/cell